{"formula": "Ba2Mn3Tl2O10", "functional": "GGA+U", "state": "relaxed", "energy_ev_per_atom": -6.18, "spacegroup": "P1 (1)", "magmom_total_mub_per_atom": 0.186, "lattice_angstrom": [[-2.5374, 1.1762, 2.5456], [-2.8044, -1.0366, -2.3178], [-0.0895, -16.3361, 7.4266]], "species": ["Tl", "Tl", "Mn", "Mn", "Mn", "Ba", "Ba", "O", "O", "O", "O", "O", "O", "O", "O", "O", "O"], "frac_coords": [[0.7450, 0.6981, 0.4336], [0.2462, 0.1986, 0.5655], [0.2481, 0.2052, 0.8642], [0.7424, 0.7034, 0.1351], [0.2417, 0.7054, 0.9996], [0.2430, 0.2039, 0.2661], [0.7469, 0.7050, 0.7330], [0.2472, 0.7052, 0.8457], [0.2465, 0.2056, 0.6784], [0.7471, 0.2052, 0.8339], [0.7427, 0.7300, 0.5499], [0.7419, 0.7054, 0.0260], [0.2424, 0.7038, 0.1536], [0.7433, 0.7048, 0.3207], [0.7423, 0.2038, 0.1653], [0.2420, 0.2300, 0.4492], [0.2419, 0.2054, 0.9732]]}